[1]
4
Lattice="-1.5584 -1.0709 9.4920 -4.5930 -1.7221 8.3433 -2.3134 -4.1190 8.4472" Properties=species:S:1:pos:R:3 comment="Tl2CdCo PBE relaxed" e_above_lowest_polymorph_ev_per_fu=0.42 e_form_ev_per_atom=0.39 volume_a3_per_atom=22.5 space_group="R3m, No. 160" pbc="T T T"
Tl -2.1017 -1.7162 6.5256
Tl -0.1365 -0.1115 0.4238
Cd -4.1023 -3.3497 12.7372
Co -6.3568 -5.1907 19.7372

[2]
4
Lattice="-0.3000 3.1739 -0.6704 -2.9226 -0.5566 -1.3272 -3.6495 1.2426 7.5158" Properties=species:S:1:pos:R:3 comment="Tl2CdCo PBE relaxed" e_above_lowest_polymorph_ev_per_fu=0.15 e_form_ev_per_atom=0.33 volume_a3_per_atom=22.4 space_group="P4mm, No. 99" pbc="T T T"
Cd -2.0506 0.6982 4.2229
Tl -2.5684 1.6345 0.9721
Tl -3.4102 1.1611 7.0229
Co -4.3174 2.2300 4.5740

[3]
4
Lattice="3.0387 0.0000 0.0000 0.0000 3.0387 0.0000 0.0000 0.0000 7.5996" Properties=species:S:1:pos:R:3 comment="TlCdCo2 PBE relaxed" e_above_lowest_polymorph_ev_per_fu=0.00 e_form_ev_per_atom=0.33 volume_a3_per_atom=17.5 space_group="P4mm, No. 99" pbc="T T T"
Co 1.5193 1.5193 1.4306
Co 0.0000 0.0000 0.3587
Cd 1.5193 1.5193 6.1629
Tl 0.0000 0.0000 3.4473

[4]
8
Lattice="-3.0270 -0.9927 2.6251 2.4459 -2.8264 1.7515 3.1105 5.1087 8.7641" Properties=species:S:1:pos:R:3 comment="TlCd2Co PBE relaxed" e_above_lowest_polymorph_ev_per_fu=1.12 e_form_ev_per_atom=0.51 volume_a3_per_atom=21.7 space_group="I-42d, No. 122" pbc="T T T"
Cd 1.8592 -0.6360 3.6735
Cd -0.7397 0.3260 3.9910
Cd 2.1705 2.3351 8.2541
Cd 1.7689 0.5539 10.3628
Tl -0.1035 1.1032 6.7888
Tl 0.0000 0.0000 0.0000
Co 2.6330 0.1863 6.3520
Co -0.2905 -1.9096 2.1883

[5]
4
Lattice="-3.3340 -3.7241 -0.1863 -2.2331 -3.4328 -2.8720 1.7369 -7.5362 -0.1053" Properties=species:S:1:pos:R:3 comment="TlCdCo2 PBE relaxed" e_above_lowest_polymorph_ev_per_fu=0.63 e_form_ev_per_atom=0.49 volume_a3_per_atom=21.5 space_group="C2/m, No. 12" pbc="T T T"
Tl -2.8726 -11.0198 -2.3726
Co -0.0305 -1.1451 -0.1367
Co -1.8846 -6.2015 -1.4451
Cd -0.9575 -3.6733 -0.7909

[6]
4
Lattice="-3.8658 0.1903 -2.5035 -0.9681 -4.4453 1.1570 -2.0505 1.2964 3.2649" Properties=species:S:1:pos:R:3 comment="Tl2CdCo PBE relaxed" e_above_lowest_polymorph_ev_per_fu=0.99 e_form_ev_per_atom=0.54 volume_a3_per_atom=22.0 space_group="Pmmm, No. 47" pbc="T T T"
Co -1.5093 -1.5745 2.2110
Tl 0.0000 0.0000 0.0000
Tl -2.4170 -2.1275 -0.6732
Cd -2.9582 0.7433 0.3807

[7]
4
Lattice="-4.4087 -1.5488 2.6351 -3.3513 -2.1808 -3.5767 5.1831 -0.9755 0.9816" Properties=species:S:1:pos:R:3 comment="Tl2CdCo PBE relaxed" e_above_lowest_polymorph_ev_per_fu=0.98 e_form_ev_per_atom=0.54 volume_a3_per_atom=21.7 space_group="I4/mmm, No. 139" pbc="T T T"
Co -1.5528 -2.1945 1.5730
Tl 0.0000 0.0000 0.0000
Tl -3.8800 -1.8648 -0.4708
Cd -1.0241 -2.5105 -1.5329

[8]
4
Lattice="-4.7884 -5.3651 0.2431 -0.2450 -6.8327 -2.2421 2.6333 5.6173 3.6448" Properties=species:S:1:pos:R:3 comment="Tl2CdCo PBE relaxed" e_above_lowest_polymorph_ev_per_fu=0.05 e_form_ev_per_atom=0.30 volume_a3_per_atom=22.5 space_group="Imm2, No. 44" pbc="T T T"
Co -0.0754 -3.6842 0.1971
Cd -2.1432 -5.1937 -0.8512
Tl -2.3589 -2.9790 1.4351
Tl -0.3394 -0.8225 -0.1348

[9]
4
Lattice="4.4395 0.0186 0.0000 -0.0188 4.4395 0.0000 0.0000 0.0000 3.1666" Properties=species:S:1:pos:R:3 comment="TlCdCo2 PBE relaxed" e_above_lowest_polymorph_ev_per_fu=0.66 e_form_ev_per_atom=0.49 volume_a3_per_atom=15.6 space_group="P4/mmm, No. 123" pbc="T T T"
Cd -0.0094 2.2197 1.5833
Co 2.2104 2.2290 0.0000
Co 0.0000 0.0000 0.0000
Tl 2.2197 0.0093 1.5833

[10]
4
Lattice="-3.1185 -3.8587 3.1865 5.6279 0.5407 1.6743 -0.0643 1.2032 3.1286" Properties=species:S:1:pos:R:3 comment="Tl2CdCo PBE relaxed" e_above_lowest_polymorph_ev_per_fu=1.06 e_form_ev_per_atom=0.55 volume_a3_per_atom=22.8 space_group="C2/m, No. 12" pbc="T T T"
Cd -1.5914 -1.3277 3.1576
Tl 0.0000 0.0000 0.0000
Tl 1.2547 -1.6590 2.4304
Co 2.7818 0.8720 2.4015

[11]
4
Lattice="-3.2459 6.0880 6.5595 -5.7406 4.0876 6.4003 -3.2465 3.3895 8.2824" Properties=species:S:1:pos:R:3 comment="TlCd2Co PBE relaxed" e_above_lowest_polymorph_ev_per_fu=0.60 e_form_ev_per_atom=0.38 volume_a3_per_atom=20.7 space_group="R3m, No. 160" pbc="T T T"
Cd -2.9239 3.2423 5.0772
Cd -12.2154 13.5455 21.2117
Co -6.1325 6.8003 10.6489
Tl -9.3107 10.3245 16.1677

[12]
4
Lattice="3.6789 -2.4189 0.8127 1.7890 -0.0438 4.1041 -0.2603 -3.6942 2.5163" Properties=species:S:1:pos:R:3 comment="TlCdCo2 PBE relaxed" e_above_lowest_polymorph_ev_per_fu=0.63 e_form_ev_per_atom=0.48 volume_a3_per_atom=15.9 space_group="Fm-3m, No. 225" pbc="T T T"
Co 1.3019 -1.5392 1.8583
Co 3.9057 -4.6177 5.5748
Tl 2.6038 -3.0785 3.7165
Cd 0.0000 0.0000 0.0000